! NaCoCu | OQMD via LeMat-Bulk | GGA-PBE | relaxed; values from VASP
&SYSTEM
  ibrav = 0, nat = 3, ntyp = 3
/
ATOMIC_SPECIES
Na 22.99 Na.upf
Co 58.93 Co.upf
Cu 63.55 Cu.upf
CELL_PARAMETERS angstrom
0.000 3.024 3.024
3.024 0.000 3.024
3.024 3.024 0.000
ATOMIC_POSITIONS crystal
Na 0.000 0.000 0.000
Co 0.750 0.750 0.750
Cu 0.250 0.250 0.250
! space group: No. 216
! total moment: 1.7 μB/f.u.
! energy above the lowest structure with this stoichiometry: 1.289 eV/f.u.